This record from OQMD via LeMat-Bulk describes an optimized crystal structure of NaFeGeAs. The functional is PBE.

abc: 4.687 4.687 4.687
angles: 60.00 60.00 60.00
Sites, in units of the cell vectors:
As1 0.000 0.000 0.000
Fe1 0.500 0.500 0.500
Ge1 0.250 0.250 0.250
Na1 0.750 0.750 0.750

Crystal system: cubic
Polymorph energy (0 for the lowest one), eV per formula unit: 0.862
Space-group type: No. 216

=====

This record from OQMD via LeMat-Bulk describes an optimized crystal structure of NaFeGeAs. The functional is PBE.

abc: 4.565 4.565 4.565
angles: 60.00 60.00 60.00
Sites, in units of the cell vectors:
As1 0.500 0.500 0.500
Fe1 0.250 0.250 0.250
Ge1 0.000 0.000 0.000
Na1 0.750 0.750 0.750

Crystal system: cubic
Polymorph energy (0 for the lowest one), eV per formula unit: 0.000
Space-group type: No. 216

=====

This record from OQMD via LeMat-Bulk describes an optimized crystal structure of Fe2SiGeAs4. The functional is PBE.

abc: 6.786 6.786 6.786
angles: 131.45 131.45 71.10
Site moments in Bohr magnetons follow the coordinates.
Sites, in units of the cell vectors:
As1 0.141 0.611 0.011  -0.05
As2 0.870 0.859 0.470  -0.05
As3 0.389 0.400 0.530  -0.05
As4 0.600 0.130 0.989  -0.05
Fe1 0.500 0.500 0.000  2.01
Fe2 0.250 0.750 0.500  2.08
Ge1 0.000 0.000 0.000  0.03
Si1 0.750 0.250 0.500  0.03

Calculated total energy, eV/atom: -5.5224
Crystal system: tetragonal
Space-group type: No. 82

=====

This record from OQMD via LeMat-Bulk describes an optimized crystal structure of Hf2FeAs2. The functional is PBE.

abc: 6.147 6.147 6.147
angles: 137.19 137.19 62.15
Sites, in units of the cell vectors:
As1 0.383 0.383 0.000
As2 0.617 0.617 0.000
Fe1 0.000 0.000 0.000
Hf1 0.750 0.250 0.500
Hf2 0.250 0.750 0.500

Calculated total energy, eV/atom: -7.4664
Crystal system: tetragonal
Space-group type: No. 139

=====

Question: Number 4 is which compound?
Answer: Hf2FeAs2